<A>
## RbAlTeN2 (PBE-GGA)

Data for a relaxed RbAlTeN2 crystal.

## Properties
* SG: P4/mmm, No. 123

a = 5.0990 Å, b = 5.0990 Å, c = 7.4135 Å
α = 90.00°, β = 90.00°, γ = 90.00°
Last column: nearest neighbours and their distance in Å.
Sites, in units of the cell vectors:
Al: 0.5000 0.5000 0.5000  4 Te 3.61
N: 0.0000 0.5000 0.0000  2 Rb 2.55
N: 0.5000 0.0000 0.0000  2 Rb 2.55
Rb: 0.0000 0.0000 0.0000  4 N 2.55
Te: 0.0000 0.0000 0.5000  4 Al 3.61, 2 Rb 3.71


<B>
## RbAlTeN2 (PBE-GGA)

Data for a relaxed RbAlTeN2 crystal.

## Properties
* SG: P4/mmm, No. 123

a = 4.2210 Å, b = 4.2210 Å, c = 5.3714 Å
α = 90.00°, β = 90.00°, γ = 90.00°
Last column: nearest neighbours and their distance in Å.
Sites, in units of the cell vectors:
N: 0.0000 0.5000 0.0000  2 Al 2.11
N: 0.5000 0.0000 0.0000  2 Al 2.11
Al: 0.0000 0.0000 0.0000  4 N 2.11
Te: 0.0000 0.0000 0.5000  2 Al 2.69, 4 Rb 2.98
Rb: 0.5000 0.5000 0.5000  4 Te 2.98


It is <A> that is the least stable of them.


<A>
## RbAlTe2N (PBE-GGA)

Data for a relaxed RbAlTe2N crystal.

## Properties
* SG: P4/mmm, No. 123

a = 6.6339 Å, b = 6.6339 Å, c = 5.3041 Å
α = 90.00°, β = 90.00°, γ = 90.00°
Last column: nearest neighbours and their distance in Å.
Sites, in units of the cell vectors:
Al: 0.5000 0.5000 0.5000  8 Te 4.25, 4 N 4.69
N: 0.0000 0.0000 0.5000  2 Rb 2.65
Te: 0.0000 0.5000 0.0000  2 Rb 3.32
Te: 0.5000 0.0000 0.0000  2 Rb 3.32
Rb: 0.0000 0.0000 0.0000  2 N 2.65


<B>
## RbAlTe2N (PBE-GGA)

Data for a relaxed RbAlTe2N crystal.

## Properties
* SG: P4/mmm, No. 123

a = 6.2754 Å, b = 6.2754 Å, c = 3.4781 Å
α = 90.00°, β = 90.00°, γ = 90.00°
Last column: nearest neighbours and their distance in Å.
Sites, in units of the cell vectors:
Te: 0.0000 0.5000 0.0000  2 Al 3.14, 2 Te 3.48
Te: 0.5000 0.0000 0.0000  2 Al 3.14, 2 Te 3.48
Al: 0.0000 0.0000 0.0000  2 N 1.74
Rb: 0.5000 0.5000 0.5000  2 Rb 3.48, 8 Te 3.59
N: 0.0000 0.0000 0.5000  2 Al 1.74


It is <A> that is the least stable of them.


<A>
## AlReSeN2 (PBE-GGA)

Data for a relaxed AlReSeN2 crystal.

## Properties
* SG: P4/mmm, No. 123

a = 3.8493 Å, b = 3.8493 Å, c = 5.4328 Å
α = 90.00°, β = 90.00°, γ = 90.00°
Last column: nearest neighbours and their distance in Å.
Sites, in units of the cell vectors:
N: 0.5000 0.0000 0.0000  2 Re 1.92
N: 0.0000 0.5000 0.0000  2 Re 1.92
Se: 0.0000 0.0000 0.5000  2 Re 2.72, 4 Al 2.72
Al: 0.5000 0.5000 0.5000  4 Se 2.72
Re: 0.0000 0.0000 0.0000  4 N 1.92


<B>
## AlReSeN2 (PBE-GGA)

Data for a relaxed AlReSeN2 crystal.

## Properties
* SG: P4/mmm, No. 123

a = 3.7651 Å, b = 3.7651 Å, c = 4.9749 Å
α = 90.00°, β = 90.00°, γ = 90.00°
Last column: nearest neighbours and their distance in Å.
Sites, in units of the cell vectors:
Re: 0.5000 0.5000 0.5000  4 Se 2.66
N: 0.5000 0.0000 0.0000  2 Al 1.88
N: 0.0000 0.5000 0.0000  2 Al 1.88
Se: 0.0000 0.0000 0.5000  2 Al 2.49, 4 Re 2.66
Al: 0.0000 0.0000 0.0000  4 N 1.88


It is <B> that is the least stable of them.